# KNa10Sr

A relaxed KNa10Sr crystal (PBE, the Alexandria database).

Cell lengths 5.859, 7.078, 12.389 Å; angles 90.00, 90.00, 90.00 degrees
Sites, in units of the cell vectors:
K  0.000  0.000  0.000
Na  0.000  0.000  0.338
Na  0.000  0.500  0.828
Na  0.000  0.500  0.172
Na  0.000  0.000  0.662
Na  0.500  0.000  0.500
Na  0.500  0.500  0.000
Na  0.500  0.258  0.262
Na  0.500  0.742  0.738
Na  0.500  0.742  0.262
Na  0.500  0.258  0.738
Sr  0.000  0.500  0.500

Space-group type: Pmmm (47)
V: 513.8 Å³/cell
Crystal system: orthorhombic
Formation energy: 0.04 eV per atom


# CsNdHg2S4

A relaxed CsNdHg2S4 crystal (PBE, the Alexandria database).

Cell lengths 6.975, 7.163, 7.163 Å; angles 71.38, 60.86, 60.86 degrees
Sites, in units of the cell vectors:
Cs  0.000  0.000  0.000
Nd  0.500  0.500  0.500
Hg  0.179  0.321  0.321
Hg  0.821  0.679  0.679
S  0.446  0.148  0.496
S  0.090  0.852  0.504
S  0.910  0.496  0.148
S  0.554  0.504  0.852

Space-group type: I222 (23)
V: 271.4 Å³/cell
Crystal system: orthorhombic
ΔE_f (raw): -0.90 eV per atom


# Pr2MnIr2

A relaxed Pr2MnIr2 crystal (PBE, the Alexandria database).

Cell lengths 5.787, 5.787, 7.970 Å; angles 77.41, 77.41, 59.09 degrees
Sites, in units of the cell vectors:
Pr  0.489  0.215  0.149
Pr  0.785  0.511  0.351
Pr  0.511  0.785  0.851
Pr  0.215  0.489  0.649
Mn  0.119  0.881  0.250
Mn  0.881  0.119  0.750
Ir  0.732  0.003  0.507
Ir  0.997  0.268  0.993
Ir  0.268  0.997  0.493
Ir  0.003  0.732  0.007

Space-group type: C2/c (15)
V: 221.7 Å³/cell
Crystal system: monoclinic
Formation energy: -0.46 eV per atom


The records above give, respectively, DFT total energy values of -15.47; -29.96; -38.76 eV per formula unit.